First-principles (PBE) data for a relaxed structure of SrAl2Tl, as listed in Alexandria via LeMat-Bulk.

DOS at the Fermi energy ... 0.366 states/eV/atom
Excess energy over the best structure of this formula in the dataset ... 247.7 meV per atom
Formation energy from the elements ... 86 meV/atom
Calculated total energy ... -44.76 eV/cell
SG ... No. 122
Total magnetization ... 0.0000 μB/atom
Theoretical density ... 4.53 g/cm³

Structure (POSCAR):
```
SrAl2Tl
1.0
5.082 0.000 0.000
0.000 5.082 0.000
0.000 0.000 19.661
Sr Al Tl
4 8 4
direct
0.000 0.000 0.000 Sr
0.000 0.500 0.250 Sr
0.500 0.000 0.750 Sr
0.500 0.500 0.500 Sr
0.038 0.250 0.625 Al
0.250 0.538 0.875 Al
0.250 0.962 0.375 Al
0.462 0.250 0.125 Al
0.538 0.750 0.125 Al
0.750 0.038 0.375 Al
0.750 0.462 0.875 Al
0.962 0.750 0.625 Al
0.000 0.000 0.500 Tl
0.000 0.500 0.750 Tl
0.500 0.000 0.250 Tl
0.500 0.500 0.000 Tl
```